No. 1
## TmScTlCo (PBE)

Data for a relaxed structure of TmScTlCo.

## Properties
Offset from the most stable computed form, kJ/mol of formula units: 0
Total magnetization, Bohr magnetons per cell: 0.00
Symmetry: P4mm (99)

a b c (Å): 3.2526 3.2526 7.8467
angles (deg): 90.00 90.00 90.00
Closest atoms and distances in Å follow each position.
Element x y z (fractional)
Sc  0.5000  0.5000  0.3745  4 Co 2.70
Co  0.0000  0.0000  0.5550  4 Sc 2.70, 4 Tm 2.85
Tm  0.5000  0.5000  0.7698  4 Co 2.85, 1 Sc 3.10
Tl  0.0000  0.0000  0.0854  4 Sc 3.23, 4 Tl 3.25, 4 Tm 3.38

***

No. 2
## Tb3Nd2Sm8 (PBE)

Data for a relaxed structure of Tb3Nd2Sm8.

## Properties
Offset from the most stable computed form, kJ/mol of formula units: 0
Total magnetization, Bohr magnetons per cell: 0.00
Symmetry: P-1 (2)

a b c (Å): 6.2664 8.1046 9.5883
angles (deg): 104.79 70.86 105.03
Closest atoms and distances in Å follow each position.
Element x y z (fractional)
Sm  0.6155  0.6921  0.2289  7 Sm 3.59-3.65, 3 Tb 3.61-3.63, 2 Nd 3.63-3.65
Tb  0.5386  0.2286  0.0758  3 Tb 3.59-3.61, 8 Sm 3.59-3.63, 1 Nd 3.62
Tb  0.0000  0.0000  0.0000  8 Sm 3.61, 4 Tb 3.61
Sm  0.1543  0.9223  0.3053  3 Tb 3.59-3.61, 7 Sm 3.62-3.66, 2 Nd 3.62-3.63
Nd  0.2308  0.3834  0.4605  9 Sm 3.62-3.65, 1 Tb 3.62, 2 Nd 3.63
Sm  0.8457  0.0777  0.6947  3 Tb 3.59-3.61, 7 Sm 3.62-3.66, 2 Nd 3.62-3.63
Sm  0.0771  0.4599  0.1519  6 Sm 3.59-3.63, 4 Tb 3.61-3.63, 2 Nd 3.63-3.65
Sm  0.3077  0.8480  0.6169  2 Tb 3.61-3.62, 7 Sm 3.61-3.65, 3 Nd 3.62-3.65
Nd  0.7692  0.6166  0.5395  9 Sm 3.62-3.65, 1 Tb 3.62, 2 Nd 3.63
Tb  0.4614  0.7714  0.9242  3 Tb 3.59-3.61, 8 Sm 3.59-3.63, 1 Nd 3.62
Sm  0.3845  0.3079  0.7711  7 Sm 3.59-3.65, 3 Tb 3.61-3.63, 2 Nd 3.63-3.65
Sm  0.6923  0.1520  0.3831  2 Tb 3.61-3.62, 7 Sm 3.61-3.65, 3 Nd 3.62-3.65
Sm  0.9229  0.5401  0.8481  6 Sm 3.59-3.63, 4 Tb 3.61-3.63, 2 Nd 3.63-3.65

***

No. 3
## Ho2CdSn2Rh5 (PBE)

Data for a relaxed structure of Ho2CdSn2Rh5.

## Properties
Total magnetization, Bohr magnetons per cell: 0.00
Symmetry: P4/mbm (127)
DFT total energy, eV/atom: -6.014

a b c (Å): 3.7583 10.0779 10.0779
angles (deg): 90.00 90.00 90.00
Closest atoms and distances in Å follow each position.
Element x y z (fractional)
Rh  0.5000  0.7022  0.4376  2 Sn 2.62, 2 Cd 2.84
Ho  0.0000  0.3296  0.8296  3 Sn 2.87-3.04, 2 Rh 3.07
Ho  0.0000  0.8296  0.6704  3 Sn 2.87-3.04, 2 Rh 3.07
Cd  0.0000  0.0000  0.0000  8 Rh 2.84
Rh  0.5000  0.0000  0.5000  4 Sn 2.62
Sn  0.0000  0.8715  0.3715  6 Rh 2.62, 1 Ho 2.87
Sn  0.0000  0.6285  0.8715  6 Rh 2.62, 1 Ho 2.87
Rh  0.5000  0.2022  0.0624  2 Sn 2.62, 2 Cd 2.84
Ho  0.0000  0.6704  0.1704  3 Sn 2.87-3.04, 2 Rh 3.07
Ho  0.0000  0.1704  0.3296  3 Sn 2.87-3.04, 2 Rh 3.07
Rh  0.5000  0.7978  0.9376  2 Sn 2.62, 2 Cd 2.84
Sn  0.0000  0.1285  0.6285  6 Rh 2.62, 1 Ho 2.87
Rh  0.5000  0.4376  0.2978  2 Sn 2.62, 2 Cd 2.84
Rh  0.5000  0.0624  0.7978  2 Sn 2.62, 2 Cd 2.84
Cd  0.0000  0.5000  0.5000  8 Rh 2.84
Rh  0.5000  0.5624  0.7022  2 Sn 2.62, 2 Cd 2.84
Rh  0.5000  0.5000  0.0000  4 Sn 2.62
Rh  0.5000  0.2978  0.5624  2 Sn 2.62, 2 Cd 2.84
Sn  0.0000  0.3715  0.1285  6 Rh 2.62, 1 Ho 2.87
Rh  0.5000  0.9376  0.2022  2 Sn 2.62, 2 Cd 2.84

***

No. 4
## MgSc2Nb2 (PBE)

Data for a relaxed structure of MgSc2Nb2.

## Properties
Total magnetization, Bohr magnetons per cell: 0.00
Symmetry: P4/mbm (127)
DFT total energy, eV/atom: -6.634

a b c (Å): 7.7558 7.7558 3.6062
angles (deg): 90.00 90.00 90.00
Closest atoms and distances in Å follow each position.
Element x y z (fractional)
Sc  0.3269  0.1731  0.5000  6 Nb 2.90-2.93
Nb  0.1193  0.3807  0.0000  1 Nb 2.62, 6 Sc 2.90-2.93
Nb  0.6193  0.1193  0.0000  1 Nb 2.62, 6 Sc 2.90-2.93
Sc  0.8269  0.3269  0.5000  6 Nb 2.90-2.93
Nb  0.3807  0.8807  0.0000  1 Nb 2.62, 6 Sc 2.90-2.93
Sc  0.1731  0.6731  0.5000  6 Nb 2.90-2.93
Mg  0.0000  0.0000  0.0000  4 Nb 3.09, 8 Sc 3.39
Nb  0.8807  0.6193  0.0000  1 Nb 2.62, 6 Sc 2.90-2.93
Sc  0.6731  0.8269  0.5000  6 Nb 2.90-2.93
Mg  0.5000  0.5000  0.0000  4 Nb 3.09, 8 Sc 3.39

***

No. 5
## NaPb2Br5 (PBE)

Data for a relaxed structure of NaPb2Br5.

## Properties
Formation energy (no corrections), eV per atom: -1.060
Total magnetization, Bohr magnetons per cell: 0.00
Symmetry: Cmcm (63)

a b c (Å): 6.0294 7.7915 14.8620
angles (deg): 90.00 90.00 112.76
Closest atoms and distances in Å follow each position.
Element x y z (fractional)
Br  0.3220  0.6440  0.4313  3 Pb 3.06-3.23, 1 Na 3.10
Br  0.2360  0.4719  0.7500  2 Na 3.10, 2 Pb 3.11
Na  0.2152  0.4305  0.2500  6 Br 3.02-3.10
Br  0.9465  0.8930  0.6208  2 Pb 2.94-2.99, 1 Na 3.02
Br  0.3220  0.6440  0.0687  3 Pb 3.06-3.23, 1 Na 3.10
Br  0.0535  0.1070  0.1208  2 Pb 2.94-2.99, 1 Na 3.02
Pb  0.8583  0.7166  0.0613  6 Br 2.94-3.23
Br  0.7640  0.5281  0.2500  2 Na 3.10, 2 Pb 3.11
Br  0.6780  0.3560  0.9313  3 Pb 3.06-3.23, 1 Na 3.10
Br  0.9465  0.8930  0.8792  2 Pb 2.94-2.99, 1 Na 3.02
Br  0.6780  0.3560  0.5687  3 Pb 3.06-3.23, 1 Na 3.10
Pb  0.8583  0.7166  0.4387  6 Br 2.94-3.23
Pb  0.1417  0.2834  0.9387  6 Br 2.94-3.23
Na  0.7848  0.5695  0.7500  6 Br 3.02-3.10
Pb  0.1417  0.2834  0.5613  6 Br 2.94-3.23
Br  0.0535  0.1070  0.3792  2 Pb 2.94-2.99, 1 Na 3.02

***

No. 6
## ThNiB2Rh2 (PBE)

Data for a relaxed structure of ThNiB2Rh2.

## Properties
Total magnetization, Bohr magnetons per cell: 0.00
Symmetry: I4/mmm (139)
DFT total energy, eV/atom: -7.412

a b c (Å): 3.9339 3.9339 6.2544
angles (deg): 108.33 108.33 90.00
Closest atoms and distances in Å follow each position.
Element x y z (fractional)
Rh  0.7500  0.2500  0.5000  4 B 2.13
Ni  0.0000  0.0000  0.0000  2 B 1.98
Th  0.5000  0.5000  0.0000  4 Ni 2.78
B  0.8235  0.8235  0.6469  1 Ni 1.98, 4 Rh 2.13
B  0.1765  0.1765  0.3531  1 Ni 1.98, 4 Rh 2.13
Rh  0.2500  0.7500  0.5000  4 B 2.13

***

No. 7
## InSb2I (PBE)

Data for a relaxed structure of InSb2I.

## Properties
Formation energy (no corrections), eV per atom: 0.149
Offset from the most stable computed form, kJ/mol of formula units: 0
Total magnetization, Bohr magnetons per cell: 0.00
Symmetry: I-42d (122)

a b c (Å): 8.9819 8.9819 7.0940
angles (deg): 50.72 50.72 90.00
Closest atoms and distances in Å follow each position.
Element x y z (fractional)
In  0.2500  0.7500  0.5000  4 Sb 3.03, 2 I 3.16
Sb  0.8750  0.8329  0.7500  2 In 3.03, 2 Sb 3.25
Sb  0.5829  0.1250  0.2500  2 In 3.03, 2 Sb 3.25
I  0.7500  0.2500  0.5000  2 In 3.16
Sb  0.3750  0.4171  0.7500  2 In 3.03, 2 Sb 3.25
Sb  0.1671  0.6250  0.2500  2 In 3.03, 2 Sb 3.25
In  0.5000  0.5000  0.0000  4 Sb 3.03, 2 I 3.16
I  0.0000  0.0000  0.0000  2 In 3.16

***

No. 8
## Tb2Pm3NdHo6 (PBE)

Data for a relaxed structure of Tb2Pm3NdHo6.

## Properties
Total magnetization, Bohr magnetons per cell: 0.00
Symmetry: C2/m (12)
DFT total energy, eV/atom: -4.631

a b c (Å): 6.1975 6.1975 11.7928
angles (deg): 95.01 95.01 119.98
Closest atoms and distances in Å follow each position.
Element x y z (fractional)
Ho  0.4171  0.0833  0.2489  2 Tb 3.55, 1 Nd 3.55, 3 Pm 3.57-3.58, 6 Ho 3.58
Pm  0.8331  0.1669  0.5000  6 Ho 3.57-3.58, 6 Pm 3.58
Ho  0.9167  0.5829  0.7511  2 Tb 3.55, 1 Nd 3.55, 3 Pm 3.57-3.58, 6 Ho 3.58
Nd  0.0000  0.0000  0.0000  6 Ho 3.55, 6 Tb 3.58
Ho  0.2506  0.2506  0.7511  1 Nd 3.55, 2 Tb 3.55, 3 Pm 3.57-3.58, 6 Ho 3.58
Tb  0.6667  0.3333  0.0000  6 Ho 3.55, 3 Nd 3.58, 3 Tb 3.58
Ho  0.7494  0.7494  0.2489  1 Nd 3.55, 2 Tb 3.55, 3 Pm 3.57-3.58, 6 Ho 3.58
Ho  0.5829  0.9167  0.7511  2 Tb 3.55, 1 Nd 3.55, 3 Pm 3.57-3.58, 6 Ho 3.58
Pm  0.5000  0.5000  0.5000  6 Ho 3.57, 6 Pm 3.58
Pm  0.1669  0.8331  0.5000  6 Ho 3.57-3.58, 6 Pm 3.58
Tb  0.3333  0.6667  0.0000  6 Ho 3.55, 3 Nd 3.58, 3 Tb 3.58
Ho  0.0833  0.4171  0.2489  2 Tb 3.55, 1 Nd 3.55, 3 Pm 3.57-3.58, 6 Ho 3.58